A plane-wave DFT calculation with GGA-PBE was carried out for a relaxed structure of VBiPd2.

Summary:
formation energy: 0.8 eV/f.u.
space-group type: I-42d
density: 10.2 Mg/m³
total moment: 0.44 μB per atom
raw total energy: -5.638 eV per atom

Cell: 4.0296 4.0296 9.8725 Å, 78.22 78.22 90.00°
Last column: nearest neighbours and their distance in Å.
Atoms (fractional coordinates):
Pd1 0.1401 0.6250 0.2500  2 V 2.74, 4 Pd 2.76-2.94, 2 Bi 2.78
Pd2 0.6099 0.1250 0.2500  2 V 2.74, 4 Pd 2.76-2.94, 2 Bi 2.78
Pd3 0.8750 0.8599 0.7500  2 V 2.74, 4 Pd 2.76-2.94, 2 Bi 2.78
Pd4 0.3750 0.3901 0.7500  2 V 2.74, 4 Pd 2.76-2.94, 2 Bi 2.78
V1 0.5000 0.5000 0.0000  4 Pd 2.74, 4 Bi 2.85
V2 0.2500 0.7500 0.5000  4 Pd 2.74, 4 Bi 2.85
Bi1 0.0000 0.0000 0.0000  4 Pd 2.78, 4 V 2.85
Bi2 0.7500 0.2500 0.5000  4 Pd 2.78, 4 V 2.85

---

A plane-wave DFT calculation with GGA-PBE was carried out for a relaxed structure of VBiPd3.

Summary:
formation energy: 2.3 eV/f.u.
space-group type: Pm-3m
density: 9.2 Mg/m³
total moment: 0.33 μB per atom
raw total energy: -5.247 eV per atom
relative energy among the computed polymorphs: 0.0 meV/atom

Cell: 4.7085 4.7085 4.7085 Å, 90.00 90.00 90.00°
Last column: nearest neighbours and their distance in Å.
Atoms (fractional coordinates):
Pd1 0.5000 0.0000 0.0000  2 V 2.35
Pd2 0.0000 0.0000 0.5000  2 V 2.35
Pd3 0.0000 0.5000 0.0000  2 V 2.35
Bi1 0.5000 0.5000 0.5000  12 Pd 3.33
V1 0.0000 0.0000 0.0000  6 Pd 2.35

---

A plane-wave DFT calculation with GGA-PBE was carried out for a relaxed structure of V2BiPd2.

Summary:
formation energy: 0.6 eV/f.u.
space-group type: P4/mbm
density: 9.8 Mg/m³
total moment: 0.79 μB per atom
raw total energy: -6.372 eV per atom
relative energy among the computed polymorphs: 19.7 meV/atom

Cell: 7.5499 7.5499 3.1214 Å, 90.00 90.00 90.00°
Last column: nearest neighbours and their distance in Å.
Atoms (fractional coordinates):
V1 0.3398 0.1602 0.5000  6 Pd 2.70-2.74
V2 0.8398 0.3398 0.5000  6 Pd 2.70-2.74
V3 0.1602 0.6602 0.5000  6 Pd 2.70-2.74
V4 0.6602 0.8398 0.5000  6 Pd 2.70-2.74
Bi1 0.0000 0.0000 0.0000  4 Pd 2.96, 2 Bi 3.12, 8 V 3.24
Bi2 0.5000 0.5000 0.0000  4 Pd 2.96, 2 Bi 3.12, 8 V 3.24
Pd1 0.1293 0.3707 0.0000  6 V 2.70-2.74, 1 Pd 2.76, 2 Bi 2.96
Pd2 0.6293 0.1293 0.0000  6 V 2.70-2.74, 1 Pd 2.76, 2 Bi 2.96
Pd3 0.3707 0.8707 0.0000  6 V 2.70-2.74, 1 Pd 2.76, 2 Bi 2.96
Pd4 0.8707 0.6293 0.0000  6 V 2.70-2.74, 1 Pd 2.76, 2 Bi 2.96

---

A plane-wave DFT calculation with GGA-PBE was carried out for a relaxed structure of V2BiPd2.

Summary:
formation energy: 0.5 eV/f.u.
space-group type: P4/mbm
density: 9.9 Mg/m³
total moment: 0.00 μB per atom
raw total energy: -6.392 eV per atom
relative energy among the computed polymorphs: 0.0 meV/atom

Cell: 7.7051 7.7051 2.9555 Å, 90.00 90.00 90.00°
Last column: nearest neighbours and their distance in Å.
Atoms (fractional coordinates):
V1 0.1027 0.3973 0.0000  1 V 2.24
V2 0.8973 0.6027 0.0000  1 V 2.24
V3 0.3973 0.8973 0.0000  1 V 2.24
V4 0.6027 0.1027 0.0000  1 V 2.24
Pd1 0.8217 0.3217 0.5000  6 V 2.69-2.81, 2 Pd 2.96
Pd2 0.3217 0.1783 0.5000  6 V 2.69-2.81, 2 Pd 2.96
Pd3 0.1783 0.6783 0.5000  6 V 2.69-2.81, 2 Pd 2.96
Pd4 0.6783 0.8217 0.5000  6 V 2.69-2.81, 2 Pd 2.96
Bi1 0.5000 0.5000 0.0000  2 Bi 2.96, 4 V 3.16, 8 Pd 3.20
Bi2 0.0000 0.0000 0.0000  2 Bi 2.96, 4 V 3.16, 8 Pd 3.20

---

A plane-wave DFT calculation with GGA-PBE was carried out for a relaxed structure of BiPd3W.

Summary:
formation energy: 4.6 eV/f.u.
space-group type: Pm-3m
density: 10.2 Mg/m³
total moment: 0.00 μB per atom
raw total energy: -5.570 eV per atom
relative energy among the computed polymorphs: 0.0 meV/atom

Cell: 4.8683 4.8683 4.8683 Å, 90.00 90.00 90.00°
Last column: nearest neighbours and their distance in Å.
Atoms (fractional coordinates):
Pd1 0.0000 0.0000 0.5000  2 W 2.43
Pd2 0.0000 0.5000 0.0000  2 W 2.43
Pd3 0.5000 0.0000 0.0000  2 W 2.43
W1 0.0000 0.0000 0.0000  6 Pd 2.43
Bi1 0.5000 0.5000 0.5000  12 Pd 3.44

---

A plane-wave DFT calculation with GGA-PBE was carried out for a relaxed structure of Bi3Pd12W.

Summary:
formation energy: -2.5 eV/f.u.
space-group type: P4/mmm
density: 12.6 Mg/m³
total moment: 0.03 μB per atom
raw total energy: -5.586 eV per atom

Cell: 4.0620 4.0620 16.6738 Å, 90.00 90.00 90.00°
Last column: nearest neighbours and their distance in Å.
Atoms (fractional coordinates):
Pd1 0.5000 0.5000 0.7603  4 Bi 2.88, 8 Pd 2.97-3.00
Pd2 0.0000 0.5000 0.6276  8 Pd 2.87-3.00, 4 Bi 2.91-2.94
Pd3 0.0000 0.5000 0.1098  2 W 2.73, 8 Pd 2.73-2.97
Pd4 0.5000 0.5000 0.0000  8 Pd 2.73, 4 W 2.87
Pd5 0.5000 0.5000 0.5000  4 Bi 2.87, 8 Pd 2.94
Pd6 0.5000 0.0000 0.1098  2 W 2.73, 8 Pd 2.73-2.97
Pd7 0.5000 0.5000 0.2397  4 Bi 2.88, 8 Pd 2.97-3.00
Pd8 0.5000 0.0000 0.6276  8 Pd 2.87-3.00, 4 Bi 2.91-2.94
Pd9 0.5000 0.0000 0.8902  2 W 2.73, 8 Pd 2.73-2.97
Pd10 0.0000 0.5000 0.8902  2 W 2.73, 8 Pd 2.73-2.97
Pd11 0.0000 0.5000 0.3724  8 Pd 2.87-3.00, 4 Bi 2.91-2.94
Pd12 0.5000 0.0000 0.3724  8 Pd 2.87-3.00, 4 Bi 2.91-2.94
Bi1 0.0000 0.0000 0.5000  12 Pd 2.87-2.94
Bi2 0.0000 0.0000 0.2477  12 Pd 2.88-3.07
Bi3 0.0000 0.0000 0.7523  12 Pd 2.88-3.07
W1 0.0000 0.0000 0.0000  12 Pd 2.73-2.87

---

A plane-wave DFT calculation with GGA-PBE was carried out for a relaxed structure of BiPdW.

Summary:
formation energy: 1.8 eV/f.u.
space-group type: Amm2
density: 14.2 Mg/m³
total moment: 0.00 μB per atom
raw total energy: -6.742 eV per atom

Cell: 3.3559 3.0470 13.7044 Å, 90.00 90.00 123.41°
Last column: nearest neighbours and their distance in Å.
Atoms (fractional coordinates):
W1 0.1187 0.2374 0.8487  3 Pd 2.76-2.77, 3 Bi 3.00-3.02, 4 W 3.05
W2 0.1187 0.2374 0.1513  3 Pd 2.76-2.77, 3 Bi 3.00-3.02, 4 W 3.05
Bi1 0.7650 0.5301 0.3266  3 Pd 2.95-3.01, 3 W 3.00-3.02, 4 Bi 3.05
Bi2 0.7650 0.5301 0.6734  3 Pd 2.95-3.01, 3 W 3.00-3.02, 4 Bi 3.05
Pd1 0.4204 0.8407 0.5000  6 Bi 2.95-3.01, 4 Pd 3.05
Pd2 0.4787 0.9574 0.0000  6 W 2.76-2.77, 4 Pd 3.05

---

A plane-wave DFT calculation with GGA-PBE was carried out for a relaxed structure of BiPdW3.

Summary:
formation energy: 16.1 eV/f.u.
space-group type: Pm-3m
density: 11.7 Mg/m³
total moment: 0.00 μB per atom
raw total energy: -6.375 eV per atom
relative energy among the computed polymorphs: 1079.2 meV/atom

Cell: 4.9745 4.9745 4.9745 Å, 90.00 90.00 90.00°
Last column: nearest neighbours and their distance in Å.
Atoms (fractional coordinates):
W1 0.0000 0.0000 0.5000  2 Bi 2.49
W2 0.5000 0.0000 0.0000  2 Bi 2.49
W3 0.0000 0.5000 0.0000  2 Bi 2.49
Bi1 0.0000 0.0000 0.0000  6 W 2.49
Pd1 0.5000 0.5000 0.5000  12 W 3.52

---

A plane-wave DFT calculation with GGA-PBE was carried out for a relaxed structure of BiPdW3.

Summary:
formation energy: 10.7 eV/f.u.
space-group type: Pm-3m
density: 12.9 Mg/m³
total moment: 0.00 μB per atom
raw total energy: -7.454 eV per atom
relative energy among the computed polymorphs: 0.0 meV/atom

Cell: 4.8137 4.8137 4.8137 Å, 90.00 90.00 90.00°
Last column: nearest neighbours and their distance in Å.
Atoms (fractional coordinates):
W1 0.5000 0.0000 0.0000  2 Pd 2.41
W2 0.0000 0.0000 0.5000  2 Pd 2.41
W3 0.0000 0.5000 0.0000  2 Pd 2.41
Pd1 0.0000 0.0000 0.0000  6 W 2.41
Bi1 0.5000 0.5000 0.5000  12 W 3.40

---

A plane-wave DFT calculation with GGA-PBE was carried out for a relaxed structure of YBiPd2W.

Summary:
formation energy: 3.4 eV/f.u.
space-group type: P4/mmm
density: 9.0 Mg/m³
total moment: 0.00 μB per atom
raw total energy: -6.051 eV per atom

Cell: 4.8672 5.4002 4.8672 Å, 90.00 90.00 90.00°
Last column: nearest neighbours and their distance in Å.
Atoms (fractional coordinates):
Pd1 0.0000 0.0000 0.5000  2 W 2.43
Pd2 0.5000 0.0000 0.0000  2 W 2.43
W1 0.0000 0.0000 0.0000  4 Pd 2.43, 2 Y 2.70
Bi1 0.5000 0.5000 0.5000  4 Y 3.44, 8 Pd 3.63
Y1 0.0000 0.5000 0.0000  2 W 2.70

---

A plane-wave DFT calculation with GGA-PBE was carried out for a relaxed structure of YBiPd3.

Summary:
formation energy: -3.1 eV/f.u.
space-group type: Pmmn
density: 9.8 Mg/m³
total moment: 0.00 μB per atom
raw total energy: -5.803 eV per atom
relative energy among the computed polymorphs: 0.0 meV/atom

Cell: 4.1639 5.8100 8.6744 Å, 90.00 90.00 90.00°
Last column: nearest neighbours and their distance in Å.
Atoms (fractional coordinates):
Pd1 0.7500 0.7500 0.1751  4 Pd 2.69, 2 Y 2.92
Pd2 0.2500 0.0107 0.2654  3 Pd 2.69-2.78, 3 Bi 2.94
Pd3 0.7500 0.9893 0.7346  3 Pd 2.69-2.78, 3 Bi 2.94
Pd4 0.2500 0.2500 0.8249  4 Pd 2.69, 2 Y 2.92
Pd5 0.2500 0.4893 0.2654  3 Pd 2.69-2.78, 3 Bi 2.94
Pd6 0.7500 0.5107 0.7346  3 Pd 2.69-2.78, 3 Bi 2.94
Bi1 0.7500 0.2500 0.4436  6 Pd 2.94
Bi2 0.2500 0.7500 0.5564  6 Pd 2.94
Y1 0.2500 0.7500 0.9396  10 Pd 2.92-3.21
Y2 0.7500 0.2500 0.0604  10 Pd 2.92-3.21

---

A plane-wave DFT calculation with GGA-PBE was carried out for a relaxed structure of YBi3Pd.

Summary:
formation energy: -0.1 eV/f.u.
space-group type: Pm-3m
density: 8.7 Mg/m³
total moment: 0.00 μB per atom
raw total energy: -4.673 eV per atom
relative energy among the computed polymorphs: 0.0 meV/atom

Cell: 5.3935 5.3935 5.3935 Å, 90.00 90.00 90.00°
Last column: nearest neighbours and their distance in Å.
Atoms (fractional coordinates):
Bi1 0.5000 0.0000 0.0000  2 Pd 2.70
Bi2 0.0000 0.0000 0.5000  2 Pd 2.70
Bi3 0.0000 0.5000 0.0000  2 Pd 2.70
Y1 0.5000 0.5000 0.5000  12 Bi 3.81
Pd1 0.0000 0.0000 0.0000  6 Bi 2.70

---

Q: The highest total moment belongs to which entry?
A: number 3